The following is a PBE-GGA calculation of a geometry-optimized ZrSc2TcH structure, from Alexandria via LeMat-Bulk.

abc: 4.0897 4.0897 4.8601
angles: 90.00 90.00 90.00
Last column: nearest neighbours and their distance in Å.
Fractional coordinates of all 5 atoms:
Zr1 0.0000 0.0000 0.0000  2 H 2.43
Sc1 0.0000 0.5000 0.5000  2 H 2.04
Sc2 0.5000 0.0000 0.5000  2 H 2.04
Tc1 0.5000 0.5000 0.0000  4 Zr 2.89, 8 Sc 3.18
H1 0.0000 0.0000 0.5000  4 Sc 2.04

Output
**Calculated total energy**: -7.118 eV per atom

The following is a PBE-GGA calculation of a geometry-optimized ScTe2H2 structure, from Alexandria via LeMat-Bulk.

abc: 4.9882 4.9882 4.9882
angles: 114.93 114.93 99.03
Last column: nearest neighbours and their distance in Å.
Fractional coordinates of all 5 atoms:
Sc1 0.0000 0.0000 0.0000  2 H 2.86, 8 Te 3.13
Te1 0.2500 0.7500 0.5000  4 H 2.96, 4 Sc 3.13, 2 Te 3.24
Te2 0.7500 0.2500 0.5000  4 H 2.96, 4 Sc 3.13, 2 Te 3.24
H1 0.4413 0.4413 0.0000  1 H 0.76
H2 0.5587 0.5587 0.0000  1 H 0.76

Output
**Calculated total energy**: -4.277 eV per atom
**Relative energy among the computed polymorphs**: 0 meV per atom

The evaluated size of the total moment for the records listed, in turn: 0.000 0.000 μB per cell.